Material: Al8Os
Method: DFT, SCAN
State: single point on PBEsol structure

Geometry as extended XYZ:
```
9
Lattice="-4.190 4.190 1.960 4.190 -4.190 1.960 4.190 4.190 -1.960" Properties=species:S:1:pos:R:3 pbc="T T T"
Al 2.716 0.000 0.000
Al 5.665 0.000 0.000
Al 0.000 2.716 0.000
Al 2.860 2.860 0.000
Al 1.331 -1.331 1.960
Al -1.331 1.331 1.960
Al 1.331 1.331 1.960
Al 0.000 5.665 0.000
Os 0.000 0.000 0.000
```

Formation energy = -0.17 eV per atom
Fermi-level density of states = 3.36 states/eV per cell
Space group = I4/mmm, No. 139
Raw total energy = -15.044 eV/atom
Volume = 15.29 Å³/atom

Material: Al2Os
Method: DFT, SCAN
State: single point on PBEsol structure

Geometry as extended XYZ:
```
6
Lattice="1.455 -6.714 0.000 1.455 6.714 0.000 0.000 0.000 4.501" Properties=species:S:1:pos:R:3 pbc="T T T"
Al 1.455 5.885 3.376
Al 1.455 1.652 3.376
Al 1.455 -1.652 1.125
Al 1.455 -5.885 1.125
Os 1.455 2.894 1.125
Os 1.455 -2.894 3.376
```

Formation energy = -0.30 eV per atom
Fermi-level density of states = 1.91 states/eV per cell
Space group = Cmcm, No. 63
Raw total energy = -29.432 eV/atom
Volume = 14.66 Å³/atom

Material: Al13Os4
Method: DFT, SCAN
State: single point on PBEsol structure

Geometry as extended XYZ:
```
17
Lattice="8.791 -2.107 0.000 8.791 2.107 0.000 -3.365 0.000 6.974" Properties=species:S:1:pos:R:3 pbc="T T T"
Al 0.000 0.000 0.000
Al 0.309 0.000 2.553
Al -1.143 0.000 5.573
Al 2.939 0.000 2.676
Al 4.861 0.000 0.588
Al 3.666 0.000 5.874
Al 5.838 0.000 3.011
Al 8.379 0.000 3.963
Al 10.551 0.000 1.100
Al 9.357 0.000 6.386
Al 11.279 0.000 4.298
Al 15.361 0.000 1.401
Al 13.908 0.000 4.421
Os 1.234 0.000 4.934
Os 7.984 0.000 1.357
Os 6.234 0.000 5.616
Os 12.984 0.000 2.040
```

Formation energy = -0.56 eV per atom
Fermi-level density of states = 4.31 states/eV per cell
Space group = C2/m, No. 12
Raw total energy = -23.397 eV/atom
Volume = 15.20 Å³/atom

Material: Al3Os
Method: DFT, SCAN
State: single point on PBEsol structure

Geometry as extended XYZ:
```
8
Lattice="4.864 0.000 0.000 0.000 4.864 0.000 0.000 0.000 4.864" Properties=species:S:1:pos:R:3 pbc="T T T"
Al 0.000 1.216 2.432
Al 0.000 3.648 2.432
Al 1.216 2.432 0.000
Al 2.432 0.000 1.216
Al 2.432 0.000 3.648
Al 3.648 2.432 0.000
Os 0.000 0.000 0.000
Os 2.432 2.432 2.432
```

Formation energy = -0.49 eV per atom
Fermi-level density of states = 2.78 states/eV per cell
Space group = Pm-3n, No. 223
Raw total energy = -24.278 eV/atom
Volume = 14.39 Å³/atom

Material: Al3Os
Method: DFT, SCAN
State: single point on PBEsol structure

Geometry as extended XYZ:
```
4
Lattice="4.727 0.000 0.000 0.000 4.727 0.000 0.000 0.000 4.727" Properties=species:S:1:pos:R:3 pbc="T T T"
Al 0.000 0.000 2.364
Al 0.000 2.364 0.000
Al 2.364 0.000 0.000
Os 0.000 0.000 0.000
```

Formation energy = -0.03 eV per atom
Fermi-level density of states = 1.55 states/eV per cell
Space group = Pm-3m, No. 221
Raw total energy = -23.815 eV/atom
Volume = 26.41 Å³/atom

Material: Al3Os
Method: DFT, SCAN
State: single point on PBEsol structure

Geometry as extended XYZ:
```
4
Lattice="2.875 0.000 0.000 -1.438 2.490 0.000 0.000 0.000 8.439" Properties=species:S:1:pos:R:3 pbc="T T T"
Al 0.000 0.000 0.000
Al 1.438 0.830 2.277
Al 1.438 0.830 6.162
Os 0.000 0.000 4.219
```

Formation energy = -0.16 eV per atom
Fermi-level density of states = 2.33 states/eV per cell
Space group = P-6m2, No. 187
Raw total energy = -23.939 eV/atom
Volume = 15.10 Å³/atom

Material: Al2Os
Method: DFT, SCAN
State: single point on PBEsol structure

Geometry as extended XYZ:
```
3
Lattice="-1.577 1.577 4.145 1.577 -1.577 4.145 1.577 1.577 -4.145" Properties=species:S:1:pos:R:3 pbc="T T T"
Al 0.000 0.000 1.340
Al 0.000 0.000 6.950
Os 0.000 0.000 4.145
```

Formation energy = -0.74 eV per atom
Space group = I4/mmm, No. 139
Raw total energy = -29.867 eV/atom
Volume = 13.74 Å³/atom

Material: Al2Os
Method: DFT, SCAN
State: single point on PBEsol structure

Geometry as extended XYZ:
```
6
Lattice="5.514 -1.532 0.000 5.514 1.532 0.000 -1.442 0.000 5.108" Properties=species:S:1:pos:R:3 pbc="T T T"
Al -0.339 0.000 1.293
Al 2.931 0.000 1.942
Al 6.656 0.000 3.166
Al 9.926 0.000 3.815
Os 2.545 0.000 4.704
Os 7.043 0.000 0.404
```

Formation energy = -0.43 eV per atom
Fermi-level density of states = 2.53 states/eV per cell
Space group = C2/m, No. 12
Raw total energy = -29.557 eV/atom
Volume = 14.38 Å³/atom

Material: AlP2Os
Method: DFT, SCAN
State: single point on PBEsol structure

Geometry as extended XYZ:
```
4
Lattice="2.921 0.000 0.000 0.000 3.763 0.000 0.000 0.000 5.051" Properties=species:S:1:pos:R:3 pbc="T T T"
Al 0.000 0.000 0.000
P 0.000 0.000 2.499
P 1.461 1.882 4.334
Os 1.461 1.882 1.893
```

Formation energy = 0.07 eV per atom
Fermi-level density of states = 1.59 states/eV per cell
Space group = Pmm2, No. 25
Raw total energy = -25.039 eV/atom
Volume = 13.88 Å³/atom

Material: AlPOs2
Method: DFT, SCAN
State: single point on PBEsol structure

Geometry as extended XYZ:
```
4
Lattice="3.087 0.000 0.000 0.000 3.087 0.000 0.000 0.000 5.609" Properties=species:S:1:pos:R:3 pbc="T T T"
Al 0.000 0.000 0.000
P 1.543 1.543 4.164
Os 0.000 0.000 3.080
Os 1.543 1.543 1.083
```

Formation energy = -0.10 eV per atom
Energy above the lowest structure with this stoichiometry = 186 meV/atom
Fermi-level density of states = 1.75 states/eV per cell
Space group = P4mm, No. 99
Raw total energy = -40.575 eV/atom
Volume = 13.36 Å³/atom

Material: AlPOs2
Method: DFT, SCAN
State: single point on PBEsol structure

Geometry as extended XYZ:
```
4
Lattice="1.423 0.822 7.844 -1.423 0.822 7.844 0.000 -1.643 7.844" Properties=species:S:1:pos:R:3 pbc="T T T"
Al 0.000 0.000 0.000
P 0.000 0.000 5.865
Os 0.000 0.000 11.974
Os 0.000 0.000 17.648
```

Formation energy = -0.02 eV per atom
Energy above the lowest structure with this stoichiometry = 264 meV/atom
Fermi-level density of states = 2.16 states/eV per cell
Space group = R3m, No. 160
Raw total energy = -40.497 eV/atom
Volume = 13.76 Å³/atom

Material: AlPOs2
Method: DFT, SCAN
State: single point on PBEsol structure

Geometry as extended XYZ:
```
4
Lattice="2.824 -3.955 0.000 2.824 3.955 0.000 -1.413 0.000 2.471" Properties=species:S:1:pos:R:3 pbc="T T T"
Al 0.000 0.000 0.000
P 2.824 0.000 0.000
Os 0.706 1.977 1.235
Os 0.706 -1.977 1.235
```

Formation energy = 0.18 eV per atom
Energy above the lowest structure with this stoichiometry = 464 meV/atom
Fermi-level density of states = 2.43 states/eV per cell
Space group = C2/m, No. 12
Raw total energy = -40.297 eV/atom
Volume = 13.80 Å³/atom

Please write out number 2 again, unchanged.
Material: Al2Os
Method: DFT, SCAN
State: single point on PBEsol structure

Geometry as extended XYZ:
```
6
Lattice="1.455 -6.714 0.000 1.455 6.714 0.000 0.000 0.000 4.501" Properties=species:S:1:pos:R:3 pbc="T T T"
Al 1.455 5.885 3.376
Al 1.455 1.652 3.376
Al 1.455 -1.652 1.125
Al 1.455 -5.885 1.125
Os 1.455 2.894 1.125
Os 1.455 -2.894 3.376
```

Formation energy = -0.30 eV per atom
Fermi-level density of states = 1.91 states/eV per cell
Space group = Cmcm, No. 63
Raw total energy = -29.432 eV/atom
Volume = 14.66 Å³/atom

formation energy of number 1 (Al8Os)? -0.17 eV per atom

Number 7 is which compound? Al2Os